Entry 1:
The following is a PBEsol calculation of a geometry-optimized AlZnW2O structure, from Alexandria via LeMat-Bulk.

Cell lengths 4.239, 4.575, 4.575 Å; angles 90.00, 90.00, 90.00 degrees
Atoms (fractional coordinates):
W (0.000, 0.000, 0.500)
W (0.000, 0.500, 0.000)
O (0.500, 0.500, 0.500)
Al (0.000, 0.000, 0.000)
Zn (0.500, 0.000, 0.000)

## Properties
For the total energy, the calculation gives -5.3851 eV/atom. As for the density of states at the Fermi level: 5.181 states/eV/cell. As for the calculated density: 8912 kg/m3. The calculation puts the uncorrected formation energy at 2.32 eV/atom.


Entry 2:
The following is a PBEsol calculation of a geometry-optimized YAlO3 structure, from Alexandria via LeMat-Bulk.

Cell lengths 6.520, 6.535, 10.195 Å; angles 90.00, 90.00, 119.93 degrees
Atoms (fractional coordinates):
O (0.164, 0.267, 0.750)
O (0.519, 0.352, 0.587)
O (0.833, 0.352, 0.087)
O (0.816, 0.000, 0.917)
O (0.438, 0.000, 0.750)
O (0.836, 0.733, 0.250)
O (0.897, 0.733, 0.750)
O (0.562, 0.000, 0.250)
O (0.519, 0.352, 0.913)
O (0.167, 0.648, 0.913)
O (0.833, 0.352, 0.413)
O (0.184, 0.000, 0.083)
O (0.481, 0.648, 0.413)
O (0.103, 0.267, 0.250)
O (0.167, 0.648, 0.587)
O (0.481, 0.648, 0.087)
O (0.184, 0.000, 0.417)
O (0.816, 0.000, 0.583)
Al (0.441, 0.274, 0.750)
Al (0.834, 0.274, 0.250)
Al (0.166, 0.726, 0.750)
Al (0.113, 0.000, 0.250)
Al (0.559, 0.726, 0.250)
Al (0.887, 0.000, 0.750)
Y (0.832, 0.664, 0.500)
Y (0.500, 0.000, 0.000)
Y (0.168, 0.336, 0.000)
Y (0.832, 0.664, 0.000)
Y (0.500, 0.000, 0.500)
Y (0.168, 0.336, 0.500)

## Properties
For the total energy, the calculation gives -8.6362 eV/atom. As for the density of states at the Fermi level: 0.000 states/eV/cell. As for the calculated density: 4337 kg/m3. The calculation puts the uncorrected formation energy at -3.30 eV/atom.


Entry 3:
The following is a PBEsol calculation of a geometry-optimized YAlO3 structure, from Alexandria via LeMat-Bulk.

Cell lengths 3.443, 3.443, 11.358 Å; angles 90.00, 90.00, 120.00 degrees
Atoms (fractional coordinates):
Al (0.667, 0.333, 0.750)
Al (0.333, 0.667, 0.250)
Y (0.000, 0.000, 0.500)
Y (0.000, 0.000, 0.000)
O (0.000, 0.000, 0.750)
O (0.333, 0.667, 0.091)
O (0.667, 0.333, 0.591)
O (0.333, 0.667, 0.409)
O (0.000, 0.000, 0.250)
O (0.667, 0.333, 0.909)

## Properties
For the total energy, the calculation gives -8.6300 eV/atom. As for the density of states at the Fermi level: 0.000 states/eV/cell. As for the calculated density: 4669 kg/m3. The calculation puts the uncorrected formation energy at -3.30 eV/atom.


Entry 4:
The following is a PBEsol calculation of a geometry-optimized Y3Al5O12 structure, from Alexandria via LeMat-Bulk.

Cell lengths 10.384, 10.384, 10.384 Å; angles 109.47, 109.47, 109.47 degrees
Atoms (fractional coordinates):
O (0.381, 0.479, 0.800)
O (0.200, 0.179, 0.082)
O (0.119, 0.918, 0.098)
O (0.418, 0.800, 0.321)
O (0.881, 0.082, 0.902)
O (0.979, 0.098, 0.179)
O (0.902, 0.321, 0.521)
O (0.582, 0.200, 0.679)
O (0.381, 0.902, 0.082)
O (0.479, 0.179, 0.098)
O (0.119, 0.200, 0.521)
O (0.179, 0.582, 0.700)
O (0.679, 0.700, 0.582)
O (0.902, 0.582, 0.881)
O (0.619, 0.098, 0.918)
O (0.881, 0.800, 0.479)
O (0.821, 0.402, 0.021)
O (0.700, 0.082, 0.179)
O (0.979, 0.881, 0.300)
O (0.800, 0.979, 0.381)
O (0.021, 0.119, 0.700)
O (0.521, 0.700, 0.119)
O (0.300, 0.381, 0.979)
O (0.098, 0.679, 0.479)
O (0.021, 0.902, 0.821)
O (0.321, 0.021, 0.402)
O (0.679, 0.979, 0.598)
O (0.179, 0.598, 0.979)
O (0.300, 0.918, 0.821)
O (0.402, 0.521, 0.321)
O (0.082, 0.402, 0.381)
O (0.598, 0.119, 0.418)
O (0.479, 0.300, 0.881)
O (0.619, 0.521, 0.200)
O (0.821, 0.418, 0.300)
O (0.582, 0.381, 0.402)
O (0.418, 0.619, 0.598)
O (0.082, 0.679, 0.200)
O (0.700, 0.619, 0.021)
O (0.402, 0.881, 0.582)
O (0.521, 0.821, 0.902)
O (0.918, 0.321, 0.800)
O (0.321, 0.300, 0.418)
O (0.098, 0.418, 0.119)
O (0.200, 0.021, 0.619)
O (0.918, 0.598, 0.619)
O (0.800, 0.821, 0.918)
O (0.598, 0.479, 0.679)
Al (0.500, 0.000, 0.500)
Al (0.500, 0.500, 0.500)
Al (0.000, 0.500, 0.000)
Al (0.750, 0.125, 0.375)
Al (0.000, 0.500, 0.500)
Al (0.625, 0.375, 0.250)
Al (0.125, 0.250, 0.375)
Al (0.625, 0.250, 0.875)
Al (0.875, 0.750, 0.625)
Al (0.500, 0.500, 0.000)
Al (0.875, 0.125, 0.750)
Al (0.750, 0.625, 0.875)
Al (0.125, 0.875, 0.250)
Al (0.375, 0.750, 0.125)
Al (0.250, 0.875, 0.625)
Al (0.375, 0.625, 0.750)
Al (0.250, 0.375, 0.125)
Al (0.500, 0.000, 0.000)
Al (0.000, 0.000, 0.500)
Al (0.000, 0.000, 0.000)
Y (0.375, 0.125, 0.250)
Y (0.375, 0.250, 0.625)
Y (0.625, 0.875, 0.750)
Y (0.250, 0.125, 0.875)
Y (0.125, 0.750, 0.875)
Y (0.750, 0.875, 0.125)
Y (0.750, 0.375, 0.625)
Y (0.875, 0.625, 0.250)
Y (0.125, 0.375, 0.750)
Y (0.250, 0.625, 0.375)
Y (0.625, 0.750, 0.375)
Y (0.875, 0.250, 0.125)

## Properties
For the total energy, the calculation gives -8.5240 eV/atom. As for the density of states at the Fermi level: 0.000 states/eV/cell. As for the calculated density: 4574 kg/m3. The calculation puts the uncorrected formation energy at -3.33 eV/atom.


Entry 5:
The following is a PBEsol calculation of a geometry-optimized Y4Al2O9 structure, from Alexandria via LeMat-Bulk.

Cell lengths 7.325, 10.430, 11.103 Å; angles 90.00, 108.40, 90.00 degrees
Atoms (fractional coordinates):
O (0.231, 0.239, 0.769)
O (0.769, 0.761, 0.231)
O (0.433, 0.259, 0.615)
O (0.928, 0.765, 0.021)
O (0.231, 0.261, 0.269)
O (0.363, 0.769, 0.040)
O (0.788, 0.515, 0.347)
O (0.922, 0.007, 0.606)
O (0.433, 0.241, 0.115)
O (0.363, 0.731, 0.540)
O (0.922, 0.493, 0.106)
O (0.637, 0.231, 0.960)
O (0.567, 0.741, 0.385)
O (0.210, 0.763, 0.253)
O (0.210, 0.737, 0.753)
O (0.567, 0.759, 0.885)
O (0.928, 0.735, 0.521)
O (0.436, 0.507, 0.108)
O (0.790, 0.263, 0.247)
O (0.788, 0.985, 0.847)
O (0.072, 0.265, 0.479)
O (0.072, 0.235, 0.979)
O (0.564, 0.493, 0.892)
O (0.697, 0.017, 0.162)
O (0.564, 0.007, 0.392)
O (0.078, 0.993, 0.394)
O (0.303, 0.983, 0.838)
O (0.790, 0.237, 0.747)
O (0.212, 0.485, 0.653)
O (0.769, 0.739, 0.731)
O (0.212, 0.015, 0.153)
O (0.436, 0.993, 0.608)
O (0.697, 0.483, 0.662)
O (0.078, 0.507, 0.894)
O (0.637, 0.269, 0.460)
O (0.303, 0.517, 0.338)
Y (0.837, 0.380, 0.914)
Y (0.163, 0.880, 0.586)
Y (0.837, 0.120, 0.414)
Y (0.523, 0.111, 0.784)
Y (0.023, 0.096, 0.805)
Y (0.163, 0.620, 0.086)
Y (0.977, 0.904, 0.195)
Y (0.660, 0.874, 0.562)
Y (0.660, 0.626, 0.062)
Y (0.340, 0.126, 0.438)
Y (0.477, 0.889, 0.216)
Y (0.340, 0.374, 0.938)
Y (0.023, 0.404, 0.305)
Y (0.477, 0.611, 0.716)
Y (0.523, 0.389, 0.284)
Y (0.977, 0.596, 0.695)
Al (0.215, 0.321, 0.627)
Al (0.215, 0.179, 0.127)
Al (0.655, 0.177, 0.113)
Al (0.345, 0.677, 0.387)
Al (0.785, 0.821, 0.873)
Al (0.655, 0.323, 0.613)
Al (0.345, 0.823, 0.887)
Al (0.785, 0.679, 0.373)

## Properties
For the total energy, the calculation gives -8.9534 eV/atom. As for the density of states at the Fermi level: 0.000 states/eV/cell. As for the calculated density: 4568 kg/m3. The calculation puts the uncorrected formation energy at -3.44 eV/atom.


Entry 6:
The following is a PBEsol calculation of a geometry-optimized YAlO3 structure, from Alexandria via LeMat-Bulk.

Cell lengths 5.179, 5.179, 5.179 Å; angles 61.00, 61.00, 61.00 degrees
Atoms (fractional coordinates):
Y (0.750, 0.750, 0.750)
Y (0.250, 0.250, 0.250)
O (0.326, 0.750, 0.174)
O (0.674, 0.250, 0.826)
O (0.826, 0.674, 0.250)
O (0.750, 0.174, 0.326)
O (0.250, 0.826, 0.674)
O (0.174, 0.326, 0.750)
Al (0.500, 0.500, 0.500)
Al (0.000, 0.000, 0.000)

## Properties
For the total energy, the calculation gives -8.7109 eV/atom. As for the density of states at the Fermi level: 0.000 states/eV/cell. As for the calculated density: 5418 kg/m3. The calculation puts the uncorrected formation energy at -3.38 eV/atom.


Entry 7:
The following is a PBEsol calculation of a geometry-optimized Al10ZnO16 structure, from Alexandria via LeMat-Bulk.

Cell lengths 5.672, 5.672, 9.627 Å; angles 72.87, 72.87, 60.00 degrees
Atoms (fractional coordinates):
O (0.619, 0.120, 0.141)
O (0.623, 0.623, 0.131)
O (0.122, 0.122, 0.633)
O (0.601, 0.163, 0.635)
O (0.883, 0.883, 0.352)
O (0.883, 0.376, 0.859)
O (0.883, 0.883, 0.859)
O (0.389, 0.389, 0.372)
O (0.389, 0.850, 0.372)
O (0.850, 0.389, 0.372)
O (0.376, 0.376, 0.872)
O (0.120, 0.619, 0.141)
O (0.163, 0.601, 0.635)
O (0.120, 0.120, 0.141)
O (0.376, 0.883, 0.859)
O (0.601, 0.601, 0.635)
Al (0.499, 0.499, 0.504)
Al (0.751, 0.245, 0.760)
Al (0.759, 0.759, 0.238)
Al (0.245, 0.245, 0.760)
Al (0.244, 0.759, 0.238)
Al (0.310, 0.310, 0.070)
Al (0.759, 0.244, 0.238)
Al (0.245, 0.751, 0.760)
Al (0.692, 0.692, 0.925)
Al (0.189, 0.189, 0.432)
Zn (0.810, 0.810, 0.570)

## Properties
For the total energy, the calculation gives -7.6217 eV/atom. As for the density of states at the Fermi level: 0.000 states/eV/cell. As for the calculated density: 3893 kg/m3. The calculation puts the uncorrected formation energy at -2.94 eV/atom.


Entry 8:
The following is a PBEsol calculation of a geometry-optimized ZrAlO3 structure, from Alexandria via LeMat-Bulk.

Cell lengths 4.082, 4.082, 4.082 Å; angles 90.00, 90.00, 90.00 degrees
Atoms (fractional coordinates):
Zr (0.500, 0.500, 0.500)
O (0.000, 0.500, 0.500)
O (0.500, 0.500, 0.000)
O (0.500, 0.000, 0.500)
Al (0.000, 0.000, 0.000)

## Properties
For the total energy, the calculation gives -7.8054 eV/atom. As for the density of states at the Fermi level: 1.520 states/eV/cell. As for the calculated density: 4059 kg/m3. The calculation puts the uncorrected formation energy at -2.02 eV/atom.


Entry 9:
The following is a PBEsol calculation of a geometry-optimized Zr2AlO structure, from Alexandria via LeMat-Bulk.

Cell lengths 4.540, 4.540, 4.540 Å; angles 60.00, 60.00, 60.00 degrees
Atoms (fractional coordinates):
Zr (0.250, 0.250, 0.250)
Zr (0.750, 0.750, 0.750)
Al (0.500, 0.500, 0.500)
O (0.000, 0.000, 0.000)

## Properties
For the total energy, the calculation gives -7.1810 eV/atom. As for the density of states at the Fermi level: 4.281 states/eV/cell. As for the calculated density: 5656 kg/m3. The calculation puts the uncorrected formation energy at -0.30 eV/atom.


Entry 10:
The following is a PBEsol calculation of a geometry-optimized Al2Os structure, from Alexandria via LeMat-Bulk.

Cell lengths 3.154, 3.154, 4.707 Å; angles 109.57, 109.57, 90.00 degrees
Atoms (fractional coordinates):
Al (0.662, 0.662, 0.323)
Al (0.338, 0.338, 0.677)
Os (0.000, 0.000, 0.000)

## Properties
For the total energy, the calculation gives -7.3523 eV/atom. As for the calculated density: 9836 kg/m3. The energy relative to the elements is -0.5527 eV/atom.


Entry 11:
The following is a PBEsol calculation of a geometry-optimized AlOs5 structure, from Alexandria via LeMat-Bulk.

Cell lengths 2.747, 5.130, 6.395 Å; angles 103.96, 90.00, 105.53 degrees
Atoms (fractional coordinates):
Al (0.006, 0.012, 0.007)
Os (0.383, 0.766, 0.283)
Os (0.730, 0.459, 0.938)
Os (0.328, 0.656, 0.659)
Os (0.055, 0.110, 0.613)
Os (0.665, 0.330, 0.334)

## Properties
For the total energy, the calculation gives -10.9070 eV/atom. As for the density of states at the Fermi level: 3.997 states/eV/cell. As for the calculated density: 19320 kg/m3. The energy relative to the elements is -0.0452 eV/atom.


Entry 12:
The following is a PBEsol calculation of a geometry-optimized Al3Os structure, from Alexandria via LeMat-Bulk.

Cell lengths 4.864, 4.864, 4.864 Å; angles 90.00, 90.00, 90.00 degrees
Atoms (fractional coordinates):
Al (0.250, 0.500, 0.000)
Al (0.000, 0.750, 0.500)
Al (0.000, 0.250, 0.500)
Al (0.750, 0.500, 0.000)
Al (0.500, 0.000, 0.250)
Al (0.500, 0.000, 0.750)
Os (0.000, 0.000, 0.000)
Os (0.500, 0.500, 0.500)

## Properties
For the total energy, the calculation gives -6.4741 eV/atom. As for the density of states at the Fermi level: 3.112 states/eV/cell. As for the calculated density: 7825 kg/m3. The energy relative to the elements is -0.3515 eV/atom.


Entry 13:
The following is a PBEsol calculation of a geometry-optimized Al3Os structure, from Alexandria via LeMat-Bulk.

Cell lengths 4.727, 4.727, 4.727 Å; angles 90.00, 90.00, 90.00 degrees
Atoms (fractional coordinates):
Al (0.500, 0.000, 0.000)
Al (0.000, 0.000, 0.500)
Al (0.000, 0.500, 0.000)
Os (0.000, 0.000, 0.000)

## Properties
For the total energy, the calculation gives -5.9937 eV/atom. As for the density of states at the Fermi level: 1.642 states/eV/cell. As for the calculated density: 4263 kg/m3. The energy relative to the elements is 0.1289 eV/atom.


Entry 14:
The following is a PBEsol calculation of a geometry-optimized Al8Os structure, from Alexandria via LeMat-Bulk.

Cell lengths 3.920, 6.242, 6.242 Å; angles 84.34, 71.70, 71.70 degrees
Atoms (fractional coordinates):
Al (0.341, 0.318, 0.000)
Al (0.659, 0.000, 0.682)
Al (0.324, 0.676, 0.676)
Al (0.000, 0.324, 0.676)
Al (0.659, 0.682, 0.000)
Al (0.000, 0.676, 0.324)
Al (0.341, 0.000, 0.318)
Al (0.676, 0.324, 0.324)
Os (0.000, 0.000, 0.000)

## Properties
For the total energy, the calculation gives -5.1087 eV/atom. As for the density of states at the Fermi level: 3.467 states/eV/cell. As for the calculated density: 4899 kg/m3. The energy relative to the elements is -0.1145 eV/atom.


Entry 15:
The following is a PBEsol calculation of a geometry-optimized AlOs2 structure, from Alexandria via LeMat-Bulk.

Cell lengths 4.037, 4.037, 4.037 Å; angles 60.00, 60.00, 60.00 degrees
Atoms (fractional coordinates):
Os (0.250, 0.250, 0.250)
Os (0.750, 0.750, 0.750)
Al (0.000, 0.000, 0.000)

## Properties
For the total energy, the calculation gives -8.7539 eV/atom. As for the density of states at the Fermi level: 2.994 states/eV/cell. As for the calculated density: 14545 kg/m3. The energy relative to the elements is 0.7539 eV/atom.


Entry 16:
The following is a PBEsol calculation of a geometry-optimized Al2Os structure, from Alexandria via LeMat-Bulk.

Cell lengths 3.063, 5.308, 5.723 Å; angles 105.17, 105.52, 90.00 degrees
Atoms (fractional coordinates):
Al (0.998, 0.247, 0.995)
Al (0.002, 0.753, 0.005)
Al (0.685, 0.120, 0.369)
Al (0.315, 0.880, 0.631)
Os (0.649, 0.579, 0.298)
Os (0.351, 0.421, 0.702)

## Properties
For the total energy, the calculation gives -7.0872 eV/atom. As for the density of states at the Fermi level: 2.756 states/eV/cell. As for the calculated density: 9399 kg/m3. The energy relative to the elements is -0.2875 eV/atom.


Entry 17:
The following is a PBEsol calculation of a geometry-optimized Al3Os structure, from Alexandria via LeMat-Bulk.

Cell lengths 2.875, 2.875, 8.439 Å; angles 90.00, 90.00, 120.00 degrees
Atoms (fractional coordinates):
Al (0.000, 0.000, 0.270)
Al (0.000, 0.000, 0.730)
Al (0.333, 0.667, 0.000)
Os (0.333, 0.667, 0.500)

## Properties
For the total energy, the calculation gives -6.1877 eV/atom. As for the density of states at the Fermi level: 2.878 states/eV/cell. As for the calculated density: 7454 kg/m3. The energy relative to the elements is -0.0650 eV/atom.


Entry 18:
The following is a PBEsol calculation of a geometry-optimized Al2Os structure, from Alexandria via LeMat-Bulk.

Cell lengths 2.910, 4.501, 6.870 Å; angles 90.00, 102.23, 90.00 degrees
Atoms (fractional coordinates):
Al (0.938, 0.750, 0.877)
Al (0.062, 0.250, 0.123)
Al (0.377, 0.250, 0.754)
Al (0.623, 0.750, 0.246)
Os (0.284, 0.750, 0.569)
Os (0.716, 0.250, 0.431)

## Properties
For the total energy, the calculation gives -6.9973 eV/atom. As for the density of states at the Fermi level: 2.049 states/eV/cell. As for the calculated density: 9223 kg/m3. The energy relative to the elements is -0.1976 eV/atom.